First-principles (PBE) data for LaY2Ho12 after structural relaxation, as listed in Alexandria.

Calculated values
- Theoretical density: 7.790 g/cm3
- Symmetry: Pmmm
- Density of states at the Fermi level: 27.2 states/eV/cell
- Uncorrected energy: -70.26 eV/cell
- Energy of formation from the pure elements: 16 kJ per mole of atoms

abc: 3.5215 5.6067 24.7879
angles: 90.00 90.00 90.00
With the nearest neighbours (Å) after each atom.
Element x y z (fractional)
La: 0.0000 0.0000 0.0000  8 Ho 3.47-3.73, 2 La 3.52
Y: 0.0000 0.0000 0.2697  2 Y 3.52, 10 Ho 3.61-3.83
Y: 0.0000 0.0000 0.7303  2 Y 3.52, 10 Ho 3.61-3.83
Ho: 0.0000 0.5000 0.0825  8 Ho 3.45-3.54, 2 La 3.47
Ho: 0.0000 0.5000 0.4380  7 Ho 3.07-3.36
Ho: 0.0000 0.5000 0.5620  7 Ho 3.07-3.36
Ho: 0.0000 0.5000 0.9175  8 Ho 3.45-3.54, 2 La 3.47
Ho: 0.5000 0.0000 0.1326  8 Ho 3.29-3.54
Ho: 0.5000 0.0000 0.4140  8 Ho 3.36-3.52
Ho: 0.5000 0.0000 0.5860  8 Ho 3.36-3.52
Ho: 0.5000 0.0000 0.8674  8 Ho 3.29-3.54
Ho: 0.5000 0.5000 0.2022  5 Ho 3.12-3.45
Ho: 0.5000 0.5000 0.3281  3 Ho 3.12-3.24
Ho: 0.5000 0.5000 0.6719  3 Ho 3.12-3.24
Ho: 0.5000 0.5000 0.7978  5 Ho 3.12-3.45